Crystalline CuHg2Ir at its relaxed geometry, computed with PBE-GGA.

Cell: 4.6141 4.6141 4.6141 Å, 60.00 60.00 60.00°
Element x y z (fractional)
Ir 0.5000 0.5000 0.5000
Hg 0.2500 0.2500 0.2500
Hg 0.7500 0.7500 0.7500
Cu 0.0000 0.0000 0.0000

Values from the calculation:
Excess energy over the best structure of this formula in the dataset (meV per atom): 68
Calculated formation energy (eV per atom): 0.41
Crystal system: cubic
DOS(E_F) (states/eV per atom): 0.430